A plane-wave DFT calculation with PBE was carried out for a relaxed structure of ZnCoSnW.

Unit cell a=4.4531 b=4.4531 c=4.4531 alpha=60.00 beta=60.00 gamma=60.00
Fractional coordinates of all 4 atoms:
1 Zn 0.0000 0.0000 0.0000
2 Co 0.7500 0.7500 0.7500
3 Sn 0.5000 0.5000 0.5000
4 W 0.2500 0.2500 0.2500

- E above lowest polymorph (eV per formula unit) = 0.02
- total moment (μB/f.u.) = 1.8
- DFT total energy (eV/cell) = -23.16
- V (Å³/atom) = 15.61